[1]
A relaxed structure of CdI2N2, computed with PBE.

Cell: 4.316 4.325 11.602 Å, 87.71 90.00 119.93°
Positions (direct):
Cd1 0.000 0.000 0.000
I1 0.656 0.312 0.149
I2 0.344 0.688 0.851
N1 0.946 0.892 0.468
N2 0.054 0.108 0.532

Results
The energy above the most stable polymorph in this dataset comes out at 0 meV/atom.

[2]
A relaxed structure of CdIN, computed with PBE.

Cell: 3.392 3.468 6.362 Å, 105.82 105.46 90.00°
Positions (direct):
N1 0.883 0.883 0.765
I1 0.698 0.698 0.395
Cd1 0.420 0.420 0.839

Results
The calculation puts the total energy at -0.2024 Ry per atom.

[3]
A relaxed structure of CdI3N2, computed with PBE.

Cell: 7.544 8.209 14.244 Å, 90.00 90.00 90.00°
Last column: magnetic moment on the atom in μB.
Positions (direct):
Cd1 0.237 0.000 0.341  0.02
Cd2 0.763 0.000 0.841  0.02
Cd3 0.119 0.500 0.355  0.01
Cd4 0.881 0.500 0.855  0.01
I1 0.295 0.500 0.830  0.00
I2 0.705 0.500 0.330  0.00
I3 0.783 0.000 0.287  0.02
I4 0.217 0.000 0.787  0.02
I5 0.125 0.000 0.522  0.17
I6 0.875 0.000 0.022  0.17
I7 0.377 0.500 0.496  0.01
I8 0.623 0.500 0.996  0.01
I9 0.299 0.261 0.222  0.04
I10 0.701 0.739 0.722  0.04
I11 0.701 0.261 0.722  0.04
I12 0.299 0.739 0.222  0.04
N1 0.137 0.323 0.846  0.11
N2 0.863 0.677 0.346  0.11
N3 0.863 0.323 0.346  0.11
N4 0.137 0.677 0.846  0.11
N5 0.732 0.179 0.192  1.09
N6 0.268 0.821 0.692  1.09
N7 0.268 0.179 0.692  1.09
N8 0.732 0.821 0.192  1.09

Results
The energy above the most stable polymorph in this dataset comes out at 204 meV/atom.

[4]
A relaxed structure of CdI3N2, computed with PBE.

Cell: 7.025 16.773 5.510 Å, 86.46 36.06 90.51°
Positions (direct):
Cd1 0.898 0.769 0.958
Cd2 0.102 0.231 0.042
I1 0.578 0.286 0.031
I2 0.422 0.714 0.969
I3 0.063 0.078 0.807
I4 0.859 0.423 0.233
I5 0.141 0.577 0.767
I6 0.937 0.922 0.193
N1 0.849 0.766 0.431
N2 0.610 0.263 0.651
N3 0.390 0.737 0.349
N4 0.151 0.234 0.569

Results
The energy above the most stable polymorph in this dataset comes out at 0 meV/atom.

[5]
A relaxed structure of Cd3IN, computed with PBE.

Cell: 6.031 6.031 6.031 Å, 90.00 90.00 90.00°
Positions (direct):
I1 0.000 0.000 0.000
N1 0.500 0.500 0.500
Cd1 0.000 0.500 0.000
Cd2 0.000 0.000 0.500
Cd3 0.500 0.000 0.000

Results
The energy above the most stable polymorph in this dataset comes out at 1393 meV/atom.

[6]
A relaxed structure of Cd2IN2, computed with PBE.

Cell: 4.476 7.970 16.628 Å, 116.82 119.31 19.89°
Positions (direct):
Cd1 0.084 0.530 0.800
Cd2 0.916 0.470 0.200
I1 0.000 0.000 0.000
N1 0.412 0.068 0.472
N2 0.588 0.932 0.528

Results
The calculation puts the total energy at -0.2873 Ry per atom.

Which formula does entry 3 have? CdI3N2

Copy entry 2 word for word.
A relaxed structure of CdIN, computed with PBE.

Cell: 3.392 3.468 6.362 Å, 105.82 105.46 90.00°
Positions (direct):
N1 0.883 0.883 0.765
I1 0.698 0.698 0.395
Cd1 0.420 0.420 0.839

Results
The calculation puts the total energy at -0.2024 Ry per atom.